# 1
# MgMnBRu2 (GGA-PBE, relaxed)
# M_tot = 0.0 Bohr magnetons per cell
data_MgMnBRu2
_space_group_name_H-M_alt 'P 4/m m m'
_space_group_IT_number 123
_space_group_name_Hall '-P 4 2'
_cell_length_a 4.1186
_cell_length_b 4.1186
_cell_length_c 3.8804
_cell_angle_alpha 90.00
_cell_angle_beta 90.00
_cell_angle_gamma 90.00
loop_
_atom_site_label
_atom_site_type_symbol
_atom_site_fract_x
_atom_site_fract_y
_atom_site_fract_z
_atom_site_occupancy
Mg1 Mg 0.0000 0.0000 0.0000 1
Mn1 Mn 0.5000 0.5000 0.0000 1
B1 B 0.5000 0.5000 0.5000 1
Ru1 Ru 0.0000 0.5000 0.5000 1

---

# 2
# MgScMnB2 (GGA-PBE, relaxed)
# M_tot = 0.0 Bohr magnetons per cell
data_MgScMnB2
_space_group_name_H-M_alt 'P 4/m m m'
_space_group_IT_number 123
_space_group_name_Hall '-P 4 2'
_cell_length_a 4.0694
_cell_length_b 4.0694
_cell_length_c 4.3385
_cell_angle_alpha 90.00
_cell_angle_beta 90.00
_cell_angle_gamma 90.00
loop_
_atom_site_label
_atom_site_type_symbol
_atom_site_fract_x
_atom_site_fract_y
_atom_site_fract_z
_atom_site_occupancy
Mg1 Mg 0.0000 0.0000 0.0000 1
Sc1 Sc 0.5000 0.5000 0.0000 1
Mn1 Mn 0.5000 0.5000 0.5000 1
B1 B 0.0000 0.5000 0.5000 1

---

# 3
# MgMnSn2B (GGA-PBE, relaxed)
# M_tot = 0.0 Bohr magnetons per cell
data_MgMnSn2B
_space_group_name_H-M_alt 'P 4/m m m'
_space_group_IT_number 123
_space_group_name_Hall '-P 4 2'
_cell_length_a 4.9915
_cell_length_b 4.9915
_cell_length_c 4.0019
_cell_angle_alpha 90.00
_cell_angle_beta 90.00
_cell_angle_gamma 90.00
loop_
_atom_site_label
_atom_site_type_symbol
_atom_site_fract_x
_atom_site_fract_y
_atom_site_fract_z
_atom_site_occupancy
Mg1 Mg 0.0000 0.0000 0.0000 1
Mn1 Mn 0.5000 0.5000 0.5000 1
Sn1 Sn 0.0000 0.5000 0.5000 1
B1 B 0.5000 0.5000 0.0000 1

---

# 4
# MgTiMn2B (GGA-PBE, relaxed)
# M_tot = 5.0 Bohr magnetons per cell
data_MgTiMn2B
_space_group_name_H-M_alt 'P 4/m m m'
_space_group_IT_number 123
_space_group_name_Hall '-P 4 2'
_cell_length_a 4.3624
_cell_length_b 4.3624
_cell_length_c 5.2403
_cell_angle_alpha 90.00
_cell_angle_beta 90.00
_cell_angle_gamma 90.00
loop_
_atom_site_label
_atom_site_type_symbol
_atom_site_fract_x
_atom_site_fract_y
_atom_site_fract_z
_atom_site_occupancy
Mg1 Mg 0.0000 0.0000 0.0000 1
Ti1 Ti 0.0000 0.0000 0.5000 1
Mn1 Mn 0.0000 0.5000 0.5000 1
B1 B 0.5000 0.5000 0.0000 1

---

# 5
# MgB3Mo (GGA-PBE, relaxed)
# M_tot = 0.0 Bohr magnetons per cell
data_MgB3Mo
_space_group_name_H-M_alt 'P m -3 m'
_space_group_IT_number 221
_space_group_name_Hall '-P 4 2 3'
_cell_length_a 3.9844
_cell_length_b 3.9844
_cell_length_c 3.9844
_cell_angle_alpha 90.00
_cell_angle_beta 90.00
_cell_angle_gamma 90.00
loop_
_atom_site_label
_atom_site_type_symbol
_atom_site_fract_x
_atom_site_fract_y
_atom_site_fract_z
_atom_site_occupancy
Mg1 Mg 0.0000 0.0000 0.0000 1
B1 B 0.0000 0.0000 0.5000 1
Mo1 Mo 0.5000 0.5000 0.5000 1

---

# 6
# MgB2Mo2 (GGA-PBE, relaxed)
# M_tot = 0.0 Bohr magnetons per cell
data_MgB2Mo2
_space_group_name_H-M_alt 'P 4/m b m'
_space_group_IT_number 127
_space_group_name_Hall '-P 4 2ab'
_cell_length_a 6.0191
_cell_length_b 6.0191
_cell_length_c 3.1732
_cell_angle_alpha 90.00
_cell_angle_beta 90.00
_cell_angle_gamma 90.00
loop_
_atom_site_label
_atom_site_type_symbol
_atom_site_fract_x
_atom_site_fract_y
_atom_site_fract_z
_atom_site_occupancy
Mg1 Mg 0.0000 0.0000 0.0000 1
B1 B 0.1096 0.3904 0.0000 1
Mo1 Mo 0.1679 0.6679 0.5000 1

---

Respective E_form values: 11 61 47 173 235 -20 kJ/mol of atoms.